VASP calculation (PBE-GGA) on an optimized crystal structure of HoSc2Ag3Te6.

a = 7.410 Å, b = 7.410 Å, c = 7.430 Å
α = 99.51°, β = 99.51°, γ = 120.03°
Fractional coordinates of all 12 atoms:
1 Ho 0.000 0.000 0.000
2 Sc 0.332 0.668 0.000
3 Sc 0.668 0.332 0.000
4 Ag 0.161 0.839 0.500
5 Ag 0.839 0.161 0.500
6 Ag 0.500 0.500 0.500
7 Te 0.919 0.574 0.756
8 Te 0.736 0.736 0.245
9 Te 0.081 0.426 0.244
10 Te 0.574 0.919 0.756
11 Te 0.264 0.264 0.755
12 Te 0.426 0.081 0.244

Calculated values
As for the crystal system: monoclinic. Its total energy is -53.7 eV per cell.

***

VASP calculation (PBE-GGA) on an optimized crystal structure of La2HRuPt.

a = 5.180 Å, b = 5.180 Å, c = 3.650 Å
α = 90.00°, β = 90.00°, γ = 90.00°
Fractional coordinates of all 5 atoms:
1 Ru 0.000 0.000 0.500
2 H 0.000 0.000 0.000
3 Pt 0.500 0.500 0.500
4 La 0.000 0.500 0.000
5 La 0.500 0.000 0.000

Calculated values
As for the crystal system: tetragonal. The calculation puts the density of states at the Fermi level at 4.1 states/eV/cell. Its total energy is -31.6 eV per cell.

***

VASP calculation (PBE-GGA) on an optimized crystal structure of In2Bi3Pb4.

a = 6.175 Å, b = 6.244 Å, c = 11.683 Å
α = 62.98°, β = 49.58°, γ = 55.87°
Fractional coordinates of all 9 atoms:
1 In 0.711 0.170 0.335
2 In 0.289 0.830 0.665
3 Bi 0.611 0.157 0.679
4 Bi 0.000 0.000 0.000
5 Bi 0.389 0.843 0.321
6 Pb 0.345 0.340 0.990
7 Pb 0.974 0.506 0.653
8 Pb 0.026 0.494 0.347
9 Pb 0.655 0.660 0.010

Calculated values
As for the formation energy: 0.0377 eV/atom. Its polymorph energy (0 for the lowest one) is 0.0 meV per atom. As for the crystal system: triclinic. The calculation puts the density of states at the Fermi level at 5.0 states/eV/cell. Its total energy is -31.6 eV per cell.

***

VASP calculation (PBE-GGA) on an optimized crystal structure of Sr3ClF.

a = 5.687 Å, b = 5.687 Å, c = 5.687 Å
α = 90.00°, β = 90.00°, γ = 90.00°
Fractional coordinates of all 5 atoms:
1 Sr 0.000 0.500 0.000
2 Sr 0.000 0.000 0.500
3 Sr 0.500 0.000 0.000
4 F 0.000 0.000 0.000
5 Cl 0.500 0.500 0.500

Calculated values
Its polymorph energy (0 for the lowest one) is 0.0 meV per atom. As for the crystal system: cubic. The calculation puts the density of states at the Fermi level at 4.9 states/eV/cell. Its total energy is -14.6 eV per cell.

***

VASP calculation (PBE-GGA) on an optimized crystal structure of K4Er3ThTe8.

a = 8.940 Å, b = 9.764 Å, c = 8.941 Å
α = 117.27°, β = 120.00°, γ = 90.00°
Fractional coordinates of all 16 atoms:
1 K 0.500 0.000 0.000
2 K 0.500 0.000 0.500
3 K 0.000 0.000 0.000
4 K 0.000 0.000 0.500
5 Er 0.500 0.500 0.000
6 Er 0.500 0.500 0.500
7 Er 0.000 0.500 0.500
8 Th 0.000 0.500 0.000
9 Te 0.240 0.712 0.972
10 Te 0.240 0.711 0.480
11 Te 0.264 0.293 0.529
12 Te 0.731 0.712 0.972
13 Te 0.269 0.288 0.028
14 Te 0.736 0.707 0.471
15 Te 0.760 0.289 0.520
16 Te 0.760 0.288 0.028

Calculated values
As for the crystal system: trigonal. The calculation puts the density of states at the Fermi level at 4.8 states/eV/cell. Its total energy is -71.8 eV per cell.

***

VASP calculation (PBE-GGA) on an optimized crystal structure of CoAg2Ru.

a = 4.759 Å, b = 4.759 Å, c = 5.050 Å
α = 80.24°, β = 80.24°, γ = 32.82°
Fractional coordinates of all 4 atoms:
1 Ag 0.003 0.003 0.005
2 Ag 0.244 0.244 0.243
3 Co 0.493 0.493 0.536
4 Ru 0.760 0.760 0.716

Calculated values
As for the formation energy: 0.4900 eV/atom. Its polymorph energy (0 for the lowest one) is 168.6 meV per atom. As for the crystal system: monoclinic. The calculation puts the density of states at the Fermi level at 3.6 states/eV/cell. Its total energy is -20.1 eV per cell.

***

VASP calculation (PBE-GGA) on an optimized crystal structure of Tb2YZn2In2.

a = 4.704 Å, b = 4.704 Å, c = 9.513 Å
α = 75.68°, β = 75.68°, γ = 60.00°
Fractional coordinates of all 7 atoms:
1 Tb 0.128 0.128 0.617
2 Tb 0.872 0.872 0.383
3 Y 0.000 0.000 0.000
4 Zn 0.603 0.603 0.191
5 Zn 0.397 0.397 0.809
6 In 0.737 0.737 0.790
7 In 0.263 0.263 0.210

Calculated values
As for the formation energy: -0.2865 eV/atom. As for the crystal system: trigonal. The calculation puts the density of states at the Fermi level at 3.3 states/eV/cell. Its total energy is -25.8 eV per cell.

***

VASP calculation (PBE-GGA) on an optimized crystal structure of KAcI4.

a = 10.452 Å, b = 9.722 Å, c = 10.209 Å
α = 118.43°, β = 120.79°, γ = 90.00°
Fractional coordinates of all 12 atoms:
1 K 0.500 0.000 0.500
2 K 0.000 0.000 0.500
3 Ac 0.500 0.500 0.000
4 Ac 0.500 0.000 0.000
5 I 0.721 0.728 0.442
6 I 0.281 0.748 0.997
7 I 0.716 0.748 0.997
8 I 0.721 0.214 0.442
9 I 0.279 0.786 0.558
10 I 0.719 0.252 0.003
11 I 0.284 0.252 0.003
12 I 0.279 0.272 0.558

Calculated values
Its polymorph energy (0 for the lowest one) is 0.0 meV per atom. As for the crystal system: orthorhombic. The calculation puts the density of states at the Fermi level at 0.0 states/eV/cell. Its total energy is -40.9 eV per cell.

***

VASP calculation (PBE-GGA) on an optimized crystal structure of Li6LaCu6.

a = 5.046 Å, b = 6.769 Å, c = 6.769 Å
α = 82.02°, β = 68.12°, γ = 68.12°
Fractional coordinates of all 13 atoms:
1 Li 0.360 0.640 0.640
2 Li 0.640 0.360 0.360
3 Li 0.000 0.350 0.650
4 Li 0.000 0.650 0.350
5 Li 0.286 0.214 0.214
6 Li 0.714 0.786 0.786
7 La 0.000 0.000 0.000
8 Cu 0.000 0.500 0.000
9 Cu 0.500 0.500 0.000
10 Cu 0.000 0.000 0.500
11 Cu 0.500 0.000 0.500
12 Cu 0.500 0.775 0.225
13 Cu 0.500 0.225 0.775

Calculated values
As for the formation energy: -0.0576 eV/atom. As for the crystal system: orthorhombic. The calculation puts the density of states at the Fermi level at 7.0 states/eV/cell. Its total energy is -41.7 eV per cell.

***

VASP calculation (PBE-GGA) on an optimized crystal structure of Cs3Na8Sn2.

a = 7.300 Å, b = 7.300 Å, c = 15.078 Å
α = 75.99°, β = 75.99°, γ = 60.00°
Fractional coordinates of all 13 atoms:
1 Cs 0.000 0.000 0.000
2 Cs 0.746 0.746 0.762
3 Cs 0.254 0.254 0.238
4 Na 0.654 0.654 0.039
5 Na 0.346 0.346 0.961
6 Na 0.196 0.703 0.398
7 Na 0.703 0.196 0.398
8 Na 0.703 0.703 0.398
9 Na 0.297 0.804 0.602
10 Na 0.804 0.297 0.602
11 Na 0.297 0.297 0.602
12 Sn 0.585 0.585 0.244
13 Sn 0.415 0.415 0.756

Calculated values
As for the formation energy: 0.0452 eV/atom. As for the crystal system: trigonal. The calculation puts the density of states at the Fermi level at 8.7 states/eV/cell. Its total energy is -20.5 eV per cell.

***

VASP calculation (PBE-GGA) on an optimized crystal structure of NaTiNb2Rh.

a = 4.919 Å, b = 4.798 Å, c = 4.919 Å
α = 90.00°, β = 90.00°, γ = 90.00°
Fractional coordinates of all 5 atoms:
1 Na 0.500 0.500 0.500
2 Nb 0.000 0.000 0.500
3 Nb 0.500 0.000 0.000
4 Rh 0.000 0.000 0.000
5 Ti 0.000 0.500 0.000

Calculated values
As for the formation energy: 0.8640 eV/atom. As for the crystal system: tetragonal. The calculation puts the density of states at the Fermi level at 7.7 states/eV/cell. Its total energy is -32.4 eV per cell.

***

VASP calculation (PBE-GGA) on an optimized crystal structure of Nd3Er2TmTe6.

a = 4.336 Å, b = 8.966 Å, c = 9.940 Å
α = 105.34°, β = 102.60°, γ = 90.00°
Fractional coordinates of all 12 atoms:
1 Nd 0.500 0.500 0.000
2 Nd 0.833 0.166 0.666
3 Nd 0.167 0.834 0.334
4 Er 0.833 0.666 0.665
5 Er 0.167 0.334 0.335
6 Tm 0.500 0.000 0.000
7 Te 0.337 0.908 0.675
8 Te 0.670 0.575 0.340
9 Te 0.663 0.092 0.325
10 Te 0.003 0.240 0.007
11 Te 0.997 0.760 0.993
12 Te 0.330 0.425 0.660

Calculated values
As for the crystal system: monoclinic. The calculation puts the density of states at the Fermi level at 5.5 states/eV/cell. Its total energy is -62.6 eV per cell.